(1)
A relaxed TbPmTm2Hg4 crystal, computed with PBE.

Geometry as POSCAR:
```
TbPmTm2Hg4
1.0
-1.968 2.519 4.188
-1.140 -2.680 4.390
6.957 1.332 5.782
Tm Hg Tb Pm
2 4 1 1
direct
0.250 0.250 0.251
0.750 0.750 0.749
0.874 0.874 0.379
0.126 0.126 0.621
0.624 0.624 0.129
0.376 0.376 0.871
0.500 0.500 0.500
0.000 0.000 0.000
```

Output
total moment: 0.0550 μB/atom
V: 25.909 A^3/atom
DOS(E_F): 7.89 states/eV/cell
formation energy from the elements: -471.3 meV per atom

(2)
A relaxed TbPmTmHg crystal, computed with PBE.

Geometry as POSCAR:
```
TbPmTmHg
1.0
-4.229 -3.278 -0.856
0.697 -5.374 -0.018
-1.968 -3.000 4.060
Tm Hg Tb Pm
1 1 1 1
direct
0.500 0.500 0.500
0.250 0.250 0.250
0.000 0.000 0.000
0.750 0.750 0.750
```

Output
energy relative to the lowest polymorph listed for this composition: 219.9 meV per atom
total moment: 0.2040 μB/atom
V: 28.125 A^3/atom
DOS(E_F): 6.45 states/eV/cell
formation energy from the elements: -15.7 meV per atom

(3)
A relaxed TbPmTmHg crystal, computed with PBE.

Geometry as POSCAR:
```
TbPmTmHg
1.0
-2.315 2.253 1.629
-2.245 -2.765 0.635
4.037 -1.488 7.794
Tb Pm Hg Tm
1 1 1 1
direct
0.500 0.500 0.791
0.000 0.000 0.075
0.000 0.000 0.565
0.500 0.500 0.355
```

Output
energy relative to the lowest polymorph listed for this composition: 0.0 meV per atom
total moment: 0.0000 μB/atom
V: 29.129 A^3/atom
DOS(E_F): 3.65 states/eV/cell
formation energy from the elements: -235.7 meV per atom

(4)
A relaxed TbPmYHg crystal, computed with PBE.

Geometry as POSCAR:
```
TbPmYHg
1.0
-1.075 1.965 -2.883
-1.036 -3.060 -1.700
-8.138 0.775 3.563
Y Pm Hg Tb
1 1 1 1
direct
0.500 0.500 0.789
0.000 0.000 0.072
0.000 0.000 0.571
0.500 0.500 0.353
```

Output
energy relative to the lowest polymorph listed for this composition: 0.0 meV per atom
total moment: 0.0000 μB/atom
V: 29.708 A^3/atom
DOS(E_F): 4.91 states/eV/cell
formation energy from the elements: -236.8 meV per atom

(5)
A relaxed TbPmYHg crystal, computed with PBE.

Geometry as POSCAR:
```
TbPmYHg
1.0
-4.918 0.173 -2.344
-4.267 -2.353 2.442
-3.942 3.080 2.163
Pm Tb Hg Y
1 1 1 1
direct
0.250 0.250 0.250
0.000 0.000 0.000
0.750 0.750 0.750
0.500 0.500 0.500
```

Output
energy relative to the lowest polymorph listed for this composition: 202.4 meV per atom
total moment: 0.2055 μB/atom
V: 28.627 A^3/atom
DOS(E_F): 6.46 states/eV/cell
formation energy from the elements: -34.3 meV per atom

(6)
A relaxed Pm5TcHg2 crystal, computed with PBE.

Geometry as POSCAR:
```
Pm5TcHg2
1.0
-3.936 -1.918 2.162
0.085 -5.841 -5.026
7.225 -6.359 7.512
Tc Pm Hg
2 10 4
direct
0.000 0.500 0.000
0.000 0.000 0.500
0.500 0.183 0.575
0.000 0.143 0.296
0.000 0.643 0.204
0.500 0.683 0.925
0.000 0.357 0.796
0.000 0.857 0.704
0.500 0.817 0.425
0.000 0.000 0.000
0.500 0.317 0.075
0.000 0.500 0.500
0.500 0.422 0.333
0.500 0.922 0.167
0.500 0.578 0.667
0.500 0.078 0.833
```

Output
total moment: 0.0000 μB/atom
V: 28.719 A^3/atom
DOS(E_F): 17.74 states/eV/cell
formation energy from the elements: -231.2 meV per atom

(7)
A relaxed Pm5Tc2Hg2 crystal, computed with PBE.

Geometry as POSCAR:
```
Pm5Tc2Hg2
1.0
-7.185 -0.814 2.243
1.448 -7.213 2.019
-1.454 2.206 8.922
Pm Hg Tc
10 4 4
direct
0.192 0.181 0.253
0.808 0.819 0.747
0.000 0.000 0.000
0.692 0.319 0.253
0.500 0.500 0.000
0.555 0.819 0.253
0.945 0.319 0.747
0.308 0.681 0.747
0.055 0.681 0.253
0.445 0.181 0.747
0.778 0.000 0.445
0.722 0.500 0.555
0.278 0.500 0.445
0.222 0.000 0.555
0.889 0.609 0.000
0.389 0.891 0.000
0.611 0.109 0.000
0.111 0.391 0.000
```

Output
total moment: 0.0000 μB/atom
V: 27.277 A^3/atom
DOS(E_F): 20.55 states/eV/cell
formation energy from the elements: -172.3 meV per atom

(8)
A relaxed Pm4TcHg crystal, computed with PBE.

Geometry as POSCAR:
```
Pm4TcHg
1.0
6.323 0.361 -1.157
-2.134 7.046 -2.693
0.207 -0.246 7.833
Tc Pm Hg
2 8 2
direct
0.250 0.000 0.000
0.750 0.000 0.000
0.959 0.063 0.724
0.459 0.724 0.063
0.041 0.937 0.276
0.096 0.366 0.206
0.904 0.634 0.794
0.404 0.794 0.634
0.596 0.206 0.366
0.541 0.276 0.937
0.250 0.375 0.625
0.750 0.625 0.375
```

Output
total moment: 0.0000 μB/atom
V: 29.307 A^3/atom
DOS(E_F): 12.31 states/eV/cell
formation energy from the elements: -197.3 meV per atom

(9)
A relaxed Pm12TcHg6 crystal, computed with PBE.

Geometry as POSCAR:
```
Pm12TcHg6
1.0
8.382 0.352 0.422
-0.922 8.339 0.422
-0.922 -1.075 8.280
Pm Hg Tc
12 6 1
direct
0.682 0.026 0.915
0.542 0.199 0.429
0.571 0.458 0.801
0.458 0.801 0.571
0.318 0.974 0.085
0.026 0.915 0.682
0.199 0.429 0.542
0.429 0.542 0.199
0.915 0.682 0.026
0.801 0.571 0.458
0.974 0.085 0.318
0.085 0.318 0.974
0.856 0.263 0.657
0.343 0.144 0.737
0.657 0.856 0.263
0.263 0.657 0.856
0.144 0.737 0.343
0.737 0.343 0.144
0.000 0.000 0.000
```

Output
total moment: 0.0000 μB/atom
V: 30.989 A^3/atom
DOS(E_F): 24.51 states/eV/cell
formation energy from the elements: -189.4 meV per atom

(10)
A relaxed Pm3TcHg crystal, computed with PBE.

Geometry as POSCAR:
```
Pm3TcHg
1.0
4.102 0.000 0.000
0.000 8.386 -2.570
0.000 -1.075 8.581
Pm Tc Hg
6 2 2
direct
0.250 0.948 0.790
0.750 0.652 0.417
0.750 0.052 0.210
0.250 0.348 0.583
0.250 0.674 0.081
0.750 0.326 0.919
0.250 0.940 0.431
0.750 0.060 0.569
0.250 0.336 0.203
0.750 0.664 0.797
```

Output
energy relative to the lowest polymorph listed for this composition: 0.0 meV per atom
total moment: 0.0000 μB/atom
V: 28.387 A^3/atom
DOS(E_F): 12.77 states/eV/cell
formation energy from the elements: -163.9 meV per atom

(11)
A relaxed Pm6Tc2Hg crystal, computed with PBE.

Geometry as POSCAR:
```
Pm6Tc2Hg
1.0
-3.458 -1.427 7.882
-6.172 0.841 -6.109
4.961 -6.757 -2.418
Tc Pm Hg
4 12 2
direct
0.379 0.000 0.379
0.500 0.386 0.886
0.621 0.000 0.621
0.500 0.614 0.114
0.289 0.974 0.685
0.711 0.026 0.315
0.787 0.774 0.560
0.213 0.774 0.987
0.711 0.396 0.685
0.289 0.604 0.315
0.476 0.286 0.190
0.096 0.286 0.810
0.213 0.226 0.440
0.787 0.226 0.013
0.904 0.714 0.190
0.524 0.714 0.810
0.000 0.000 0.000
0.000 0.500 0.500
```

Output
total moment: 0.0000 μB/atom
V: 28.339 A^3/atom
DOS(E_F): 17.89 states/eV/cell
formation energy from the elements: -99.1 meV per atom

(12)
A relaxed PmTcHg crystal, computed with PBE.

Geometry as POSCAR:
```
PmTcHg
1.0
4.090 0.031 0.157
-0.035 4.182 0.069
-0.319 -2.175 8.490
Hg Pm Tc
2 2 2
direct
0.250 0.701 0.906
0.750 0.299 0.094
0.250 0.901 0.296
0.750 0.099 0.704
0.750 0.467 0.429
0.250 0.533 0.571
```

Output
total moment: 0.0000 μB/atom
V: 24.345 A^3/atom
DOS(E_F): 5.39 states/eV/cell
formation energy from the elements: -130.6 meV per atom

(13)
A relaxed Pm2TcHg crystal, computed with PBE.

Geometry as POSCAR:
```
Pm2TcHg
1.0
3.582 0.000 0.000
0.000 3.582 0.000
0.000 0.000 7.710
Pm Hg Tc
2 1 1
direct
0.000 0.000 0.782
0.000 0.000 0.218
0.500 0.500 0.500
0.500 0.500 0.000
```

Output
energy relative to the lowest polymorph listed for this composition: 0.0 meV per atom
total moment: 0.0000 μB/atom
V: 24.737 A^3/atom
DOS(E_F): 3.44 states/eV/cell
formation energy from the elements: -163.8 meV per atom

(14)
A relaxed Pm3TcHg crystal, computed with PBE.

Geometry as POSCAR:
```
Pm3TcHg
1.0
5.383 0.000 0.000
0.000 5.383 0.000
0.000 0.000 5.383
Pm Hg Tc
3 1 1
direct
0.000 0.500 0.000
0.500 0.000 0.000
0.000 0.000 0.500
0.500 0.500 0.500
0.000 0.000 0.000
```

Output
energy relative to the lowest polymorph listed for this composition: 243.0 meV per atom
total moment: 0.0000 μB/atom
V: 31.194 A^3/atom
DOS(E_F): 5.24 states/eV/cell
formation energy from the elements: 79.1 meV per atom

(15)
A relaxed Pm2TcHg crystal, computed with PBE.

Geometry as POSCAR:
```
Pm2TcHg
1.0
5.164 0.000 0.000
2.582 4.472 0.000
2.582 1.491 4.216
Pm Hg Tc
2 1 1
direct
0.750 0.750 0.750
0.250 0.250 0.250
0.000 0.000 0.000
0.500 0.500 0.500
```

Output
energy relative to the lowest polymorph listed for this composition: 100.8 meV per atom
total moment: 0.0000 μB/atom
V: 24.340 A^3/atom
DOS(E_F): 2.64 states/eV/cell
formation energy from the elements: -63.0 meV per atom

(16)
A relaxed Pm2TcHg crystal, computed with PBE.

Geometry as POSCAR:
```
Pm2TcHg
1.0
-2.543 0.472 2.042
-3.053 -0.781 -0.963
-0.552 -10.111 4.309
Tc Hg Pm
1 1 2
direct
0.000 0.000 0.000
0.500 0.500 0.500
0.081 0.081 0.756
0.919 0.919 0.244
```

Output
energy relative to the lowest polymorph listed for this composition: 709.9 meV per atom
total moment: 0.1926 μB/atom
V: 25.483 A^3/atom
DOS(E_F): 4.62 states/eV/cell
formation energy from the elements: 546.1 meV per atom

(17)
A relaxed Pm8TcHg2 crystal, computed with PBE.

Geometry as POSCAR:
```
Pm8TcHg2
1.0
5.437 0.000 0.000
0.000 7.091 0.112
-2.719 -2.907 8.446
Hg Pm Tc
2 8 1
direct
0.816 0.290 0.631
0.184 0.710 0.369
0.803 0.711 0.605
0.346 0.046 0.693
0.591 0.427 0.182
0.197 0.289 0.395
0.979 0.213 0.958
0.021 0.787 0.042
0.409 0.573 0.818
0.654 0.954 0.307
0.500 0.000 0.000
```

Output
total moment: 0.0000 μB/atom
V: 29.764 A^3/atom
DOS(E_F): 10.34 states/eV/cell
formation energy from the elements: -147.7 meV per atom

(18)
A relaxed PmThTcHg crystal, computed with PBE.

Geometry as POSCAR:
```
PmThTcHg
1.0
5.202 0.000 0.000
2.601 4.505 0.000
2.601 1.502 4.248
Tc Hg Pm Th
1 1 1 1
direct
0.250 0.250 0.250
0.750 0.750 0.750
0.500 0.500 0.500
0.000 0.000 0.000
```

Output
total moment: 0.0000 μB/atom
V: 24.891 A^3/atom
DOS(E_F): 4.35 states/eV/cell
formation energy from the elements: -58.1 meV per atom

(19)
A relaxed PmTmTcHg crystal, computed with PBE.

Geometry as POSCAR:
```
PmTmTcHg
1.0
5.071 0.000 0.000
2.535 4.391 0.000
2.535 1.464 4.140
Tc Hg Tm Pm
1 1 1 1
direct
0.250 0.250 0.250
0.750 0.750 0.750
0.500 0.500 0.500
0.000 0.000 0.000
```

Output
total moment: 0.0000 μB/atom
V: 23.048 A^3/atom
DOS(E_F): 2.85 states/eV/cell
formation energy from the elements: -111.9 meV per atom

(20)
A relaxed Pm6HgTe5 crystal, computed with PBE.

Geometry as POSCAR:
```
Pm6HgTe5
1.0
-1.215 2.513 -7.195
-5.925 -3.899 -3.130
-7.221 2.655 0.762
Pm Te Hg
6 5 1
direct
0.243 0.920 0.674
0.753 0.758 0.000
0.243 0.594 0.326
0.757 0.080 0.326
0.757 0.406 0.674
0.247 0.242 0.000
0.000 0.665 0.670
0.500 0.171 0.658
0.000 0.335 0.330
0.500 0.829 0.342
0.500 0.500 0.000
0.000 0.000 0.000
```

Output
formation energy without anion corrections: -29.499 kcal/mol of atoms
total moment: 0.0000 μB/atom
V: 31.450 A^3/atom
DOS(E_F): 4.86 states/eV/cell